## PmSmTeN (PBE)

Data for PmSmTeN after structural relaxation.

Summary:
total moment	0.060	μB/atom
ΔE_f (raw)	-1.320	eV/atom
SG	Imm2 (44)

a b c (Å): 7.261 7.261 7.261
angles (deg): 149.40 149.29 43.91
Element x y z (fractional)
Pm: 0.000 0.000 0.000
Sm: 0.300 0.300 0.000
Te: 0.651 0.651 0.000
N: 0.400 0.900 0.500

***

## YTl2Ru (PBE)

Data for YTl2Ru after structural relaxation.

Summary:
energy relative to the lowest polymorph listed for this composition	3.6	meV per atom
total moment	0.000	μB/atom
ΔH_f (0 K)	0.05	eV/f.u.
SG	P4mm (99)

a b c (Å): 3.424 3.424 8.187
angles (deg): 90.00 90.00 90.00
Element x y z (fractional)
Y: 0.000 0.000 0.000
Tl: 0.000 0.000 0.398
Tl: 0.500 0.500 0.696
Ru: 0.500 0.500 0.192

***

## NbMo3I (PBE)

Data for NbMo3I after structural relaxation.

Summary:
energy relative to the lowest polymorph listed for this composition	125.7	meV per atom
total moment	0.000	μB/atom
ΔE_f (raw)	2.130	eV/atom
SG	Pm-3m (221)

a b c (Å): 4.794 4.794 4.794
angles (deg): 90.00 90.00 90.00
Element x y z (fractional)
Nb: 0.000 0.000 0.000
Mo: 0.000 0.500 0.500
Mo: 0.500 0.000 0.500
Mo: 0.500 0.500 0.000
I: 0.500 0.500 0.500

***

## KCr4Mo (PBE)

Data for KCr4Mo after structural relaxation.

Summary:
total moment	0.000	μB/atom
ΔH_f (0 K)	6.92	eV/f.u.
SG	F-43m (216)

a b c (Å): 5.010 5.010 5.010
angles (deg): 60.00 60.00 60.00
Element x y z (fractional)
K: 0.000 0.000 0.000
Cr: 0.374 0.374 0.374
Cr: 0.374 0.374 0.877
Cr: 0.374 0.877 0.374
Cr: 0.877 0.374 0.374
Mo: 0.750 0.750 0.750

***

## CoB3Sb (PBE)

Data for CoB3Sb after structural relaxation.

Summary:
energy relative to the lowest polymorph listed for this composition	1450.3	meV per atom
total moment	0.373	μB/atom
ΔE_f (raw)	2.556	eV/atom
SG	Pm-3m (221)

a b c (Å): 4.442 4.442 4.442
angles (deg): 90.00 90.00 90.00
Element x y z (fractional)
Co: 0.000 0.000 0.000
B: 0.000 0.500 0.500
B: 0.500 0.000 0.500
B: 0.500 0.500 0.000
Sb: 0.500 0.500 0.500

***

## RbTh2NbO8 (PBE)

Data for RbTh2NbO8 after structural relaxation.

Summary:
total moment	0.000	μB/atom
ΔE_f (raw)	-2.711	eV/atom
SG	P-1 (2)

a b c (Å): 4.831 4.837 8.284
angles (deg): 94.27 92.96 91.68
Element x y z (fractional)
Rb: 0.000 0.000 0.000
Th: 0.451 0.454 0.715
Th: 0.549 0.546 0.285
Nb: 0.000 0.000 0.500
O: 0.125 0.735 0.314
O: 0.248 0.870 0.682
O: 0.296 0.287 0.465
O: 0.448 0.352 0.003
O: 0.552 0.648 0.997
O: 0.704 0.713 0.535
O: 0.752 0.130 0.318
O: 0.875 0.265 0.686

***

## LiYZr2 (PBE)

Data for LiYZr2 after structural relaxation.

Summary:
energy relative to the lowest polymorph listed for this composition	127.7	meV per atom
total moment	0.054	μB/atom
ΔH_f (0 K)	0.98	eV/f.u.
SG	R-3m (166)

a b c (Å): 11.031 11.031 11.031
angles (deg): 16.75 16.75 16.75
Element x y z (fractional)
Li: 0.000 0.000 0.000
Y: 0.500 0.500 0.500
Zr: 0.252 0.252 0.252
Zr: 0.748 0.748 0.748

***

## BaAcCdPd (PBE)

Data for BaAcCdPd after structural relaxation.

Summary:
total moment	0.000	μB/atom
ΔH_f (0 K)	-1.40	eV/f.u.
SG	F-43m (216)

a b c (Å): 5.653 5.653 5.653
angles (deg): 60.00 60.00 60.00
Element x y z (fractional)
Ba: 0.000 0.000 0.000
Ac: 0.500 0.500 0.500
Cd: 0.250 0.250 0.250
Pd: 0.750 0.750 0.750

***

## Li3B4C4 (PBE)

Data for Li3B4C4 after structural relaxation.

Summary:
energy relative to the lowest polymorph listed for this composition	10.3	meV per atom
total moment	0.000	μB/atom
ΔH_f (0 K)	-2.54	eV/f.u.
SG	Pmn2_1 (31)

a b c (Å): 2.727 9.419 7.238
angles (deg): 90.00 90.00 90.00
Element x y z (fractional)
Li: 0.000 0.106 0.000
Li: 0.000 0.623 0.485
Li: 0.000 0.650 0.990
Li: 0.500 0.350 0.490
Li: 0.500 0.377 0.985
Li: 0.500 0.894 0.500
B: 0.000 0.294 0.228
B: 0.000 0.454 0.737
B: 0.000 0.799 0.249
B: 0.000 0.953 0.754
B: 0.500 0.047 0.254
B: 0.500 0.201 0.749
B: 0.500 0.546 0.237
B: 0.500 0.706 0.728
C: 0.000 0.287 0.746
C: 0.000 0.462 0.232
C: 0.000 0.787 0.728
C: 0.000 0.965 0.260
C: 0.500 0.035 0.760
C: 0.500 0.213 0.228
C: 0.500 0.538 0.732
C: 0.500 0.713 0.246

***

## VBiTeI2 (PBE)

Data for VBiTeI2 after structural relaxation.

Summary:
energy relative to the lowest polymorph listed for this composition	0.0	meV per atom
total moment	0.553	μB/atom
ΔE_f (raw)	0.185	eV/atom
SG	P4/mmm (123)

a b c (Å): 5.252 5.252 5.435
angles (deg): 90.00 90.00 90.00
Element x y z (fractional)
V: 0.000 0.000 0.000
Bi: 0.500 0.500 0.500
Te: 0.000 0.000 0.500
I: 0.000 0.500 0.000
I: 0.500 0.000 0.000

***

## TlCd3Hg3 (PBE)

Data for TlCd3Hg3 after structural relaxation.

Summary:
energy relative to the lowest polymorph listed for this composition	0.0	meV per atom
total moment	0.000	μB/atom
ΔH_f (0 K)	0.12	eV/f.u.
SG	P-1 (2)

a b c (Å): 6.441 7.200 8.632
angles (deg): 110.77 101.40 93.63
Element x y z (fractional)
Tl: 0.109 0.183 0.441
Tl: 0.891 0.817 0.559
Cd: 0.212 0.593 0.774
Cd: 0.258 0.021 0.023
Cd: 0.466 0.274 0.859
Cd: 0.534 0.726 0.141
Cd: 0.742 0.979 0.977
Cd: 0.788 0.407 0.226
Hg: 0.024 0.733 0.140
Hg: 0.311 0.457 0.276
Hg: 0.397 0.854 0.586
Hg: 0.603 0.146 0.414
Hg: 0.689 0.543 0.724
Hg: 0.976 0.267 0.860

***

## Na2Cu2I5 (PBE)

Data for Na2Cu2I5 after structural relaxation.

Summary:
total moment	0.000	μB/atom
ΔE_f (raw)	-0.563	eV/atom
SG	Ima2 (46)

a b c (Å): 10.963 10.963 10.963
angles (deg): 61.63 136.84 138.22
Element x y z (fractional)
Na: 0.043 0.107 0.150
Na: 0.043 0.393 0.435
Na: 0.957 0.607 0.565
Na: 0.957 0.893 0.850
Cu: 0.424 0.774 0.150
Cu: 0.433 0.433 0.000
Cu: 0.433 0.933 0.500
Cu: 0.623 0.274 0.850
I: 0.332 0.056 0.565
I: 0.332 0.267 0.776
I: 0.443 0.160 0.233
I: 0.443 0.710 0.782
I: 0.491 0.556 0.224
I: 0.491 0.767 0.435
I: 0.751 0.114 0.137
I: 0.928 0.210 0.767
I: 0.928 0.660 0.218
I: 0.976 0.614 0.863

***

## BaNaCu2Pt (PBE)

Data for BaNaCu2Pt after structural relaxation.

Summary:
total moment	0.000	μB/atom
ΔH_f (0 K)	0.14	eV/f.u.
SG	P4/mmm (123)

a b c (Å): 4.964 4.964 5.115
angles (deg): 90.00 90.00 90.00
Element x y z (fractional)
Ba: 0.000 0.000 0.000
Na: 0.500 0.500 0.000
Cu: 0.000 0.500 0.500
Cu: 0.500 0.000 0.500
Pt: 0.500 0.500 0.500

***

## Na3Tl3Cd2Hg (PBE)

Data for Na3Tl3Cd2Hg after structural relaxation.

Summary:
total moment	0.000	μB/atom
ΔH_f (0 K)	-1.00	eV/f.u.
SG	P-62m (189)

a b c (Å): 8.968 8.968 3.455
angles (deg): 90.00 90.00 120.00
Element x y z (fractional)
Na: 0.000 0.707 0.000
Na: 0.293 0.293 0.000
Na: 0.707 0.000 0.000
Tl: 0.000 0.367 0.500
Tl: 0.367 0.000 0.500
Tl: 0.633 0.633 0.500
Cd: 0.333 0.667 0.000
Cd: 0.667 0.333 0.000
Hg: 0.000 0.000 0.500

***

## CeAs2IrO8 (PBE)

Data for CeAs2IrO8 after structural relaxation.

Summary:
total moment	0.086	μB/atom
ΔE_f (raw)	-1.406	eV/atom
SG	P-3m1 (164)

a b c (Å): 5.446 5.446 6.948
angles (deg): 90.00 90.00 120.00
Element x y z (fractional)
Ce: 0.000 0.000 0.000
As: 0.333 0.667 0.234
As: 0.667 0.333 0.766
Ir: 0.000 0.000 0.500
O: 0.155 0.310 0.294
O: 0.155 0.845 0.294
O: 0.310 0.155 0.706
O: 0.333 0.667 0.990
O: 0.667 0.333 0.010
O: 0.690 0.845 0.294
O: 0.845 0.155 0.706
O: 0.845 0.690 0.706

***

## ZrZn3C (PBE)

Data for ZrZn3C after structural relaxation.

Summary:
energy relative to the lowest polymorph listed for this composition	0.0	meV per atom
total moment	0.000	μB/atom
ΔH_f (0 K)	3.18	eV/f.u.
SG	Pm-3m (221)

a b c (Å): 4.233 4.233 4.233
angles (deg): 90.00 90.00 90.00
Element x y z (fractional)
Zr: 0.000 0.000 0.000
Zn: 0.000 0.500 0.500
Zn: 0.500 0.000 0.500
Zn: 0.500 0.500 0.000
C: 0.500 0.500 0.500

***

## Pr3Y4Er5 (PBE)

Data for Pr3Y4Er5 after structural relaxation.

Summary:
energy relative to the lowest polymorph listed for this composition	0.0	meV per atom
total moment	0.000	μB/atom
ΔH_f (0 K)	0.24	eV/f.u.
SG	P-1 (2)

a b c (Å): 6.180 7.181 9.454
angles (deg): 101.04 108.54 90.08
Element x y z (fractional)
Pr: 0.000 0.000 0.000
Pr: 0.498 0.582 0.330
Pr: 0.502 0.418 0.670
Y: 0.000 0.168 0.666
Y: 0.000 0.832 0.334
Y: 0.500 0.083 0.332
Y: 0.500 0.917 0.668
Er: 0.000 0.500 0.000
Er: 0.001 0.666 0.667
Er: 0.498 0.750 0.999
Er: 0.502 0.250 0.001
Er: 0.999 0.334 0.333

***

## ThSc6 (PBE)

Data for ThSc6 after structural relaxation.

Summary:
total moment	0.000	μB/atom
ΔH_f (0 K)	9.00	eV/f.u.
SG	Im-3m (229)

a b c (Å): 6.289 6.289 6.289
angles (deg): 109.47 109.47 109.47
Element x y z (fractional)
Th: 0.000 0.000 0.000
Sc: 0.250 0.500 0.750
Sc: 0.250 0.750 0.500
Sc: 0.500 0.250 0.750
Sc: 0.500 0.750 0.250
Sc: 0.750 0.250 0.500
Sc: 0.750 0.500 0.250

***

## HfAsW (PBE)

Data for HfAsW after structural relaxation.

Summary:
total moment	0.000	μB/atom
ΔH_f (0 K)	-0.60	eV/f.u.
SG	Pmm2 (25)

a b c (Å): 3.391 4.356 7.102
angles (deg): 90.00 90.00 90.00
Element x y z (fractional)
Hf: 0.000 0.000 0.000
Hf: 0.000 0.500 0.368
As: 0.000 0.000 0.631
As: 0.500 0.500 0.066
W: 0.500 0.000 0.347
W: 0.500 0.500 0.702

***

## TcOs2Br (PBE)

Data for TcOs2Br after structural relaxation.

Summary:
energy relative to the lowest polymorph listed for this composition	472.0	meV per atom
total moment	0.001	μB/atom
ΔE_f (raw)	1.161	eV/atom
SG	Pmmm (47)

a b c (Å): 2.857 4.634 4.671
angles (deg): 90.00 90.00 90.00
Element x y z (fractional)
Tc: 0.000 0.000 0.000
Os: 0.000 0.500 0.500
Os: 0.500 0.000 0.500
Br: 0.500 0.500 0.000

***

Result set for DFT total energy: -6.5545, -5.1062, -6.6923, -7.2499, -3.6962, -8.1724, -6.1225, -3.3843, -6.5351, -3.6637, -0.8427, -2.6279, -3.4669, -1.5761, -6.7198, -3.6835, -5.2304, -5.2016, -9.3855, -7.4640 eV/atom, one per record in the order listed.